[1]
Material: MnOs2W
Method: DFT, SCAN
State: single point on PBEsol structure

As for the energy of formation: 0.1596 eV/atom. The density of states at the Fermi level is 0.7919 states/eV/atom. The calculation puts the total moment at 1.23 μB per formula unit.

The structure belongs to space group P4mm (No. 99); the cell edges are 2.698, 2.698 and 7.478 Å and the angles 90.00°, 90.00° and 90.00°. Symmetry generates all atoms from Mn at (0.000, 0.000, 0.000), Os at (0.000, 0.000, 0.480), Os at (0.500, 0.500, 0.222) and W at (0.500, 0.500, 0.751).



[2]
Material: Y2MnOs
Method: DFT, SCAN
State: single point on PBEsol structure

As for the energy of formation: -0.1359 eV/atom. The density of states at the Fermi level is 0.9417 states/eV/atom. The calculation puts the total moment at 0.03 μB per formula unit.

The structure belongs to space group R3m (No. 160, hexagonal axes); the cell edges are 3.9013, 3.9013 and 21.7564 Å and the angles 90.00°, 90.00° and 120.00°. Symmetry generates all atoms from Y at (0.0000, 0.0000, 0.0000), Y at (0.0000, 0.0000, 0.1852), Mn at (0.0000, 0.0000, 0.7506) and Os at (0.0000, 0.0000, 0.4331).



[3]
Material: Y2MnOs
Method: DFT, SCAN
State: single point on PBEsol structure

As for the energy of formation: 0.0691 eV/atom. The density of states at the Fermi level is 0.9653 states/eV/atom. The calculation puts the total moment at 4.71 μB per formula unit.

The structure belongs to space group F-43m (No. 216); the cell edges are 6.724, 6.724 and 6.724 Å and the angles 90.00°, 90.00° and 90.00°. Symmetry generates all atoms from Y at (0.000, 0.000, 0.000), Y at (0.250, 0.250, 0.250), Mn at (0.250, 0.250, 0.750) and Os at (0.000, 0.000, 0.500).



[4]
Material: Y2MnOs
Method: DFT, SCAN
State: single point on PBEsol structure

As for the energy of formation: -0.2085 eV/atom. The density of states at the Fermi level is 0.4106 states/eV/atom. The calculation puts the total moment at 3.62 μB per formula unit.

The structure belongs to space group P4/mmm (No. 123); the cell edges are 3.388, 3.388 and 7.017 Å and the angles 90.00°, 90.00° and 90.00°. Symmetry generates all atoms from Y at (0.000, 0.000, 0.235), Mn at (0.500, 0.500, 0.500) and Os at (0.500, 0.500, 0.000).



[5]
Material: MnZnOs2
Method: DFT, SCAN
State: single point on PBEsol structure

As for the energy of formation: 0.0020 eV/atom. The density of states at the Fermi level is 0.4690 states/eV/atom. The calculation puts the total moment at 3.68 μB per formula unit.

The structure belongs to space group P4mm (No. 99); the cell edges are 2.693, 2.693 and 7.398 Å and the angles 90.00°, 90.00° and 90.00°. Symmetry generates all atoms from Mn at (0.000, 0.000, 0.000), Zn at (0.500, 0.500, 0.755), Os at (0.000, 0.000, 0.494) and Os at (0.500, 0.500, 0.252).



[6]
Material: ZrMnOs2
Method: DFT, SCAN
State: single point on PBEsol structure

As for the energy of formation: -0.0638 eV/atom. The density of states at the Fermi level is 0.6832 states/eV/atom. The calculation puts the total moment at 3.26 μB per formula unit.

The structure belongs to space group C2/m (No. 12); the cell edges are 5.419, 8.841 and 2.750 Å and the angles 90.00°, 114.17° and 90.00°. Symmetry generates all atoms from Zr at (0.000, 0.000, 0.000), Mn at (0.000, 0.500, 0.000) and Os at (0.250, 0.250, 0.500).



Which of these has the lowest density of states at the Fermi level?
number 4